A.
# GGA-PBE SmTm6Th4, relaxed
# M_tot	0.000	μB per formula unit
data_SmTm6Th4
_chemical_formula_sum 'Sm1 Tm6 Th4'
_space_group_name_H-M_alt 'P 1'
_space_group_IT_number 1
_cell_length_a 3.407
_cell_length_b 5.812
_cell_length_c 18.094
_cell_angle_alpha 99.24
_cell_angle_beta 95.40
_cell_angle_gamma 90.00
loop_
_space_group_symop_operation_xyz
'x,y,z'
loop_
_atom_site_label
_atom_site_type_symbol
_atom_site_fract_x
_atom_site_fract_y
_atom_site_fract_z
_atom_site_occupancy
Tm1 Tm 0.403 0.903 0.807 1
Tm2 Tm 0.767 0.267 0.534 1
Tm3 Tm 0.868 0.368 0.737 1
Tm4 Tm 0.597 0.097 0.193 1
Tm5 Tm 0.132 0.632 0.263 1
Tm6 Tm 0.233 0.733 0.466 1
Th1 Th 0.818 0.818 0.635 1
Th2 Th 0.182 0.182 0.365 1
Th3 Th 0.455 0.455 0.911 1
Th4 Th 0.545 0.545 0.089 1
Sm1 Sm 0.000 0.000 0.000 1


B.
# GGA-PBE SmTm6Th4, relaxed
# M_tot	0.000	μB per formula unit
data_SmTm6Th4
_chemical_formula_sum 'Sm1 Tm6 Th4'
_space_group_name_H-M_alt 'P 1'
_space_group_IT_number 1
_cell_length_a 7.882
_cell_length_b 7.882
_cell_length_c 8.466
_cell_angle_alpha 117.75
_cell_angle_beta 117.75
_cell_angle_gamma 90.00
loop_
_space_group_symop_operation_xyz
'x,y,z'
loop_
_atom_site_label
_atom_site_type_symbol
_atom_site_fract_x
_atom_site_fract_y
_atom_site_fract_z
_atom_site_occupancy
Th1 Th 0.908 0.908 0.150 1
Th2 Th 0.241 0.241 0.150 1
Th3 Th 0.759 0.092 0.850 1
Th4 Th 0.092 0.759 0.850 1
Tm1 Tm 0.500 0.000 0.000 1
Tm2 Tm 0.421 0.941 0.362 1
Tm3 Tm 0.059 0.059 0.638 1
Tm4 Tm 0.579 0.579 0.638 1
Tm5 Tm 0.000 0.500 0.000 1
Tm6 Tm 0.941 0.421 0.362 1
Sm1 Sm 0.500 0.500 0.000 1


Short version: A, B, most stable first.


A.
# GGA-PBE Sm3Tm4Th2, relaxed
# M_tot	0.000	μB per formula unit
data_Sm3Tm4Th2
_chemical_formula_sum 'Sm3 Tm4 Th2'
_space_group_name_H-M_alt 'P 1'
_space_group_IT_number 1
_cell_length_a 3.588
_cell_length_b 9.503
_cell_length_c 9.495
_cell_angle_alpha 115.32
_cell_angle_beta 100.89
_cell_angle_gamma 90.00
loop_
_space_group_symop_operation_xyz
'x,y,z'
loop_
_atom_site_label
_atom_site_type_symbol
_atom_site_fract_x
_atom_site_fract_y
_atom_site_fract_z
_atom_site_occupancy
Th1 Th 0.668 0.003 0.336 1
Th2 Th 0.332 0.997 0.664 1
Sm1 Sm 0.851 0.330 0.703 1
Sm2 Sm 0.000 0.000 0.000 1
Sm3 Sm 0.149 0.670 0.297 1
Tm1 Tm 0.816 0.667 0.631 1
Tm2 Tm 0.519 0.332 0.037 1
Tm3 Tm 0.184 0.333 0.369 1
Tm4 Tm 0.481 0.668 0.963 1


B.
# GGA-PBE Sm3Tm4Th2, relaxed
# M_tot	0.000	μB per formula unit
data_Sm3Tm4Th2
_chemical_formula_sum 'Sm3 Tm4 Th2'
_space_group_name_H-M_alt 'P 1'
_space_group_IT_number 1
_cell_length_a 5.755
_cell_length_b 6.366
_cell_length_c 9.411
_cell_angle_alpha 116.28
_cell_angle_beta 107.81
_cell_angle_gamma 90.00
loop_
_space_group_symop_operation_xyz
'x,y,z'
loop_
_atom_site_label
_atom_site_type_symbol
_atom_site_fract_x
_atom_site_fract_y
_atom_site_fract_z
_atom_site_occupancy
Tm1 Tm 0.230 0.328 0.460 1
Tm2 Tm 0.561 0.382 0.122 1
Tm3 Tm 0.770 0.672 0.540 1
Tm4 Tm 0.439 0.618 0.878 1
Sm1 Sm 0.129 0.691 0.258 1
Sm2 Sm 0.000 0.000 0.000 1
Sm3 Sm 0.871 0.309 0.742 1
Th1 Th 0.645 0.009 0.289 1
Th2 Th 0.355 0.991 0.711 1


Short version: A, B, most stable first.


A.
# GGA-PBE Sm2Tm8Th3, relaxed
# M_tot	0.000	μB per formula unit
data_Sm2Tm8Th3
_chemical_formula_sum 'Sm2 Tm8 Th3'
_space_group_name_H-M_alt 'P 1'
_space_group_IT_number 1
_cell_length_a 6.573
_cell_length_b 9.201
_cell_length_c 8.673
_cell_angle_alpha 122.03
_cell_angle_beta 81.64
_cell_angle_gamma 90.00
loop_
_space_group_symop_operation_xyz
'x,y,z'
loop_
_atom_site_label
_atom_site_type_symbol
_atom_site_fract_x
_atom_site_fract_y
_atom_site_fract_z
_atom_site_occupancy
Sm1 Sm 0.800 0.782 0.563 1
Sm2 Sm 0.200 0.218 0.437 1
Tm1 Tm 0.710 0.197 0.394 1
Tm2 Tm 0.561 0.791 0.225 1
Tm3 Tm 0.439 0.209 0.775 1
Tm4 Tm 0.135 0.579 0.159 1
Tm5 Tm 0.561 0.433 0.225 1
Tm6 Tm 0.439 0.567 0.775 1
Tm7 Tm 0.290 0.803 0.606 1
Tm8 Tm 0.865 0.421 0.841 1
Th1 Th 0.000 0.830 0.000 1
Th2 Th 0.500 0.000 0.000 1
Th3 Th 0.000 0.170 0.000 1


B.
# GGA-PBE Sm2Tm8Th3, relaxed
# M_tot	0.000	μB per formula unit
data_Sm2Tm8Th3
_chemical_formula_sum 'Sm2 Tm8 Th3'
_space_group_name_H-M_alt 'P 1'
_space_group_IT_number 1
_cell_length_a 5.580
_cell_length_b 6.732
_cell_length_c 11.880
_cell_angle_alpha 106.46
_cell_angle_beta 103.60
_cell_angle_gamma 90.00
loop_
_space_group_symop_operation_xyz
'x,y,z'
loop_
_atom_site_label
_atom_site_type_symbol
_atom_site_fract_x
_atom_site_fract_y
_atom_site_fract_z
_atom_site_occupancy
Sm1 Sm 0.276 0.276 0.551 1
Sm2 Sm 0.724 0.724 0.449 1
Th1 Th 0.000 0.731 0.000 1
Th2 Th 0.000 0.269 0.000 1
Th3 Th 0.500 0.000 0.000 1
Tm1 Tm 0.575 0.575 0.151 1
Tm2 Tm 0.851 0.591 0.702 1
Tm3 Tm 0.149 0.890 0.298 1
Tm4 Tm 0.851 0.110 0.702 1
Tm5 Tm 0.320 0.820 0.640 1
Tm6 Tm 0.680 0.180 0.360 1
Tm7 Tm 0.149 0.409 0.298 1
Tm8 Tm 0.425 0.425 0.849 1


Short version: B, A, most stable first.


A.
# GGA-PBE Sm6TmTh, relaxed
# M_tot	0.001	μB per formula unit
data_Sm6TmTh
_chemical_formula_sum 'Sm6 Tm1 Th1'
_space_group_name_H-M_alt 'P 1'
_space_group_IT_number 1
_cell_length_a 5.120
_cell_length_b 7.202
_cell_length_c 7.202
_cell_angle_alpha 90.00
_cell_angle_beta 90.00
_cell_angle_gamma 90.00
loop_
_space_group_symop_operation_xyz
'x,y,z'
loop_
_atom_site_label
_atom_site_type_symbol
_atom_site_fract_x
_atom_site_fract_y
_atom_site_fract_z
_atom_site_occupancy
Th1 Th 0.500 0.625 0.375 1
Sm1 Sm 0.500 0.125 0.375 1
Sm2 Sm 0.000 0.379 0.129 1
Sm3 Sm 0.500 0.625 0.875 1
Sm4 Sm 0.000 0.871 0.129 1
Sm5 Sm 0.000 0.379 0.621 1
Sm6 Sm 0.000 0.871 0.621 1
Tm1 Tm 0.500 0.125 0.875 1


B.
# GGA-PBE Sm6TmTh, relaxed
# M_tot	0.000	μB per formula unit
data_Sm6TmTh
_chemical_formula_sum 'Sm6 Tm1 Th1'
_space_group_name_H-M_alt 'P 1'
_space_group_IT_number 1
_cell_length_a 5.098
_cell_length_b 5.098
_cell_length_c 10.178
_cell_angle_alpha 90.00
_cell_angle_beta 90.00
_cell_angle_gamma 90.00
loop_
_space_group_symop_operation_xyz
'x,y,z'
loop_
_atom_site_label
_atom_site_type_symbol
_atom_site_fract_x
_atom_site_fract_y
_atom_site_fract_z
_atom_site_occupancy
Tm1 Tm 0.000 0.000 0.000 1
Sm1 Sm 0.500 0.000 0.749 1
Sm2 Sm 0.500 0.500 0.000 1
Sm3 Sm 0.500 0.000 0.251 1
Sm4 Sm 0.000 0.500 0.749 1
Sm5 Sm 0.500 0.500 0.500 1
Sm6 Sm 0.000 0.500 0.251 1
Th1 Th 0.000 0.000 0.500 1


Short version: A, B, most stable first.


A.
# GGA-PBE Sm8Tm2Th, relaxed
# M_tot	0.000	μB per formula unit
data_Sm8Tm2Th
_chemical_formula_sum 'Sm8 Tm2 Th1'
_space_group_name_H-M_alt 'P 1'
_space_group_IT_number 1
_cell_length_a 5.630
_cell_length_b 10.270
_cell_length_c 10.270
_cell_angle_alpha 39.43
_cell_angle_beta 93.52
_cell_angle_gamma 93.52
loop_
_space_group_symop_operation_xyz
'x,y,z'
loop_
_atom_site_label
_atom_site_type_symbol
_atom_site_fract_x
_atom_site_fract_y
_atom_site_fract_z
_atom_site_occupancy
Tm1 Tm 0.254 0.717 0.717 1
Tm2 Tm 0.746 0.283 0.283 1
Sm1 Sm 0.729 0.868 0.396 1
Sm2 Sm 0.271 0.604 0.132 1
Sm3 Sm 0.271 0.132 0.604 1
Sm4 Sm 0.765 0.454 0.454 1
Sm5 Sm 0.774 0.814 0.814 1
Sm6 Sm 0.729 0.396 0.868 1
Sm7 Sm 0.226 0.186 0.186 1
Sm8 Sm 0.235 0.546 0.546 1
Th1 Th 0.000 0.000 0.000 1


B.
# GGA-PBE Sm8Tm2Th, relaxed
# M_tot	0.000	μB per formula unit
data_Sm8Tm2Th
_chemical_formula_sum 'Sm8 Tm2 Th1'
_space_group_name_H-M_alt 'P 1'
_space_group_IT_number 1
_cell_length_a 5.092
_cell_length_b 8.056
_cell_length_c 9.526
_cell_angle_alpha 104.77
_cell_angle_beta 105.50
_cell_angle_gamma 90.00
loop_
_space_group_symop_operation_xyz
'x,y,z'
loop_
_atom_site_label
_atom_site_type_symbol
_atom_site_fract_x
_atom_site_fract_y
_atom_site_fract_z
_atom_site_occupancy
Sm1 Sm 0.046 0.733 0.091 1
Sm2 Sm 0.136 0.183 0.271 1
Sm3 Sm 0.319 0.090 0.639 1
Sm4 Sm 0.864 0.817 0.729 1
Sm5 Sm 0.591 0.453 0.183 1
Sm6 Sm 0.954 0.267 0.909 1
Sm7 Sm 0.409 0.547 0.817 1
Sm8 Sm 0.681 0.910 0.361 1
Tm1 Tm 0.228 0.635 0.456 1
Tm2 Tm 0.772 0.365 0.544 1
Th1 Th 0.500 0.000 0.000 1


Short version: B, A, most stable first.


A.
# GGA-PBE Sm4Tm6Th, relaxed
# M_tot	0.000	μB per formula unit
data_Sm4Tm6Th
_chemical_formula_sum 'Sm4 Tm6 Th1'
_space_group_name_H-M_alt 'P 1'
_space_group_IT_number 1
_cell_length_a 7.650
_cell_length_b 7.650
_cell_length_c 8.433
_cell_angle_alpha 116.97
_cell_angle_beta 116.97
_cell_angle_gamma 90.00
loop_
_space_group_symop_operation_xyz
'x,y,z'
loop_
_atom_site_label
_atom_site_type_symbol
_atom_site_fract_x
_atom_site_fract_y
_atom_site_fract_z
_atom_site_occupancy
Sm1 Sm 0.251 0.251 0.150 1
Sm2 Sm 0.899 0.899 0.150 1
Sm3 Sm 0.101 0.749 0.850 1
Sm4 Sm 0.749 0.101 0.850 1
Tm1 Tm 0.000 0.500 0.000 1
Tm2 Tm 0.073 0.073 0.638 1
Tm3 Tm 0.927 0.435 0.362 1
Tm4 Tm 0.565 0.565 0.638 1
Tm5 Tm 0.500 0.000 0.000 1
Tm6 Tm 0.435 0.927 0.362 1
Th1 Th 0.500 0.500 0.000 1


B.
# GGA-PBE Sm4Tm6Th, relaxed
# M_tot	0.001	μB per formula unit
data_Sm4Tm6Th
_chemical_formula_sum 'Sm8 Tm12 Th2'
_space_group_name_H-M_alt 'P 1'
_space_group_IT_number 1
_cell_length_a 5.665
_cell_length_b 5.610
_cell_length_c 25.598
_cell_angle_alpha 90.00
_cell_angle_beta 90.00
_cell_angle_gamma 120.33
loop_
_space_group_symop_operation_xyz
'x,y,z'
loop_
_atom_site_label
_atom_site_type_symbol
_atom_site_fract_x
_atom_site_fract_y
_atom_site_fract_z
_atom_site_occupancy
Tm1 Tm 0.175 0.349 0.603 1
Tm2 Tm 0.157 0.313 0.184 1
Tm3 Tm 0.500 0.000 0.500 1
Tm4 Tm 0.490 0.979 0.250 1
Tm5 Tm 0.175 0.349 0.897 1
Tm6 Tm 0.500 0.000 0.000 1
Tm7 Tm 0.510 0.021 0.750 1
Tm8 Tm 0.843 0.687 0.684 1
Tm9 Tm 0.825 0.651 0.103 1
Tm10 Tm 0.825 0.651 0.397 1
Tm11 Tm 0.157 0.313 0.316 1
Tm12 Tm 0.843 0.687 0.816 1
Sm1 Sm 0.837 0.673 0.957 1
Sm2 Sm 0.837 0.673 0.543 1
Sm3 Sm 0.511 0.022 0.877 1
Sm4 Sm 0.489 0.978 0.123 1
Sm5 Sm 0.163 0.327 0.457 1
Sm6 Sm 0.511 0.022 0.623 1
Sm7 Sm 0.489 0.978 0.377 1
Sm8 Sm 0.163 0.327 0.043 1
Th1 Th 0.176 0.352 0.750 1
Th2 Th 0.824 0.648 0.250 1


Short version: B, A, most stable first.


A.
# GGA-PBE Sm3Tm4Th, relaxed
# M_tot	0.000	μB per formula unit
data_Sm3Tm4Th
_chemical_formula_sum 'Sm3 Tm4 Th1'
_space_group_name_H-M_alt 'P 1'
_space_group_IT_number 1
_cell_length_a 3.563
_cell_length_b 6.163
_cell_length_c 11.669
_cell_angle_alpha 100.23
_cell_angle_beta 90.01
_cell_angle_gamma 89.99
loop_
_space_group_symop_operation_xyz
'x,y,z'
loop_
_atom_site_label
_atom_site_type_symbol
_atom_site_fract_x
_atom_site_fract_y
_atom_site_fract_z
_atom_site_occupancy
Sm1 Sm 0.500 0.500 0.500 1
Sm2 Sm 0.000 0.000 0.500 1
Sm3 Sm 0.000 0.500 0.000 1
Tm1 Tm 0.999 0.756 0.753 1
Tm2 Tm 0.501 0.754 0.249 1
Tm3 Tm 0.001 0.244 0.247 1
Tm4 Tm 0.499 0.246 0.751 1
Th1 Th 0.500 0.000 0.000 1


B.
# GGA-PBE Sm3Tm4Th, relaxed
# M_tot	0.001	μB per formula unit
data_Sm3Tm4Th
_chemical_formula_sum 'Sm6 Tm8 Th2'
_space_group_name_H-M_alt 'P 1'
_space_group_IT_number 1
_cell_length_a 6.238
_cell_length_b 7.201
_cell_length_c 11.424
_cell_angle_alpha 90.00
_cell_angle_beta 90.00
_cell_angle_gamma 90.00
loop_
_space_group_symop_operation_xyz
'x,y,z'
loop_
_atom_site_label
_atom_site_type_symbol
_atom_site_fract_x
_atom_site_fract_y
_atom_site_fract_z
_atom_site_occupancy
Tm1 Tm 0.148 0.878 0.000 1
Tm2 Tm 0.986 0.124 0.248 1
Tm3 Tm 0.648 0.126 0.000 1
Tm4 Tm 0.648 0.122 0.500 1
Tm5 Tm 0.148 0.874 0.500 1
Tm6 Tm 0.486 0.876 0.748 1
Tm7 Tm 0.986 0.124 0.752 1
Tm8 Tm 0.486 0.876 0.252 1
Sm1 Sm 0.977 0.624 0.751 1
Sm2 Sm 0.477 0.376 0.251 1
Sm3 Sm 0.645 0.623 0.000 1
Sm4 Sm 0.477 0.376 0.749 1
Sm5 Sm 0.977 0.624 0.249 1
Sm6 Sm 0.145 0.377 0.500 1
Th1 Th 0.650 0.626 0.500 1
Th2 Th 0.150 0.374 0.000 1


Short version: A, B, most stable first.


A.
# GGA-PBE Sm4Tm7Th, relaxed
# M_tot	0.000	μB per formula unit
data_Sm4Tm7Th
_chemical_formula_sum 'Sm4 Tm7 Th1'
_space_group_name_H-M_alt 'P 1'
_space_group_IT_number 1
_cell_length_a 5.898
_cell_length_b 11.503
_cell_length_c 6.732
_cell_angle_alpha 83.73
_cell_angle_beta 64.02
_cell_angle_gamma 75.14
loop_
_space_group_symop_operation_xyz
'x,y,z'
loop_
_atom_site_label
_atom_site_type_symbol
_atom_site_fract_x
_atom_site_fract_y
_atom_site_fract_z
_atom_site_occupancy
Tm1 Tm 0.632 0.503 0.233 1
Tm2 Tm 0.500 0.000 0.000 1
Tm3 Tm 0.786 0.923 0.504 1
Tm4 Tm 0.214 0.077 0.496 1
Tm5 Tm 0.065 0.682 0.189 1
Tm6 Tm 0.368 0.497 0.767 1
Tm7 Tm 0.935 0.318 0.811 1
Sm1 Sm 0.361 0.777 0.501 1
Sm2 Sm 0.232 0.329 0.207 1
Sm3 Sm 0.639 0.223 0.499 1
Sm4 Sm 0.768 0.671 0.793 1
Th1 Th 0.000 0.000 0.000 1


B.
# GGA-PBE Sm4Tm7Th, relaxed
# M_tot	0.000	μB per formula unit
data_Sm4Tm7Th
_chemical_formula_sum 'Sm4 Tm7 Th1'
_space_group_name_H-M_alt 'P 1'
_space_group_IT_number 1
_cell_length_a 7.065
_cell_length_b 7.912
_cell_length_c 7.919
_cell_angle_alpha 84.11
_cell_angle_beta 102.49
_cell_angle_gamma 63.53
loop_
_space_group_symop_operation_xyz
'x,y,z'
loop_
_atom_site_label
_atom_site_type_symbol
_atom_site_fract_x
_atom_site_fract_y
_atom_site_fract_z
_atom_site_occupancy
Tm1 Tm 0.248 0.504 0.001 1
Tm2 Tm 0.754 0.164 0.329 1
Tm3 Tm 0.500 0.000 0.000 1
Tm4 Tm 0.999 0.670 0.330 1
Tm5 Tm 0.001 0.330 0.670 1
Tm6 Tm 0.752 0.496 0.999 1
Tm7 Tm 0.246 0.836 0.671 1
Sm1 Sm 0.495 0.669 0.331 1
Sm2 Sm 0.505 0.331 0.669 1
Sm3 Sm 0.755 0.833 0.671 1
Sm4 Sm 0.245 0.167 0.329 1
Th1 Th 0.000 0.000 0.000 1


Short version: B, A, most stable first.